No. 1
VASP calculation (GGA-PBE) on an optimized crystal structure of TaPd2PbC.

Cell lengths 5.0731, 5.0731, 4.0984 Å; angles 90.00, 90.00, 90.00 degrees
Fractional coordinates of all 5 atoms:
Ta 0.0000 0.0000 0.0000
Pd 0.0000 0.5000 0.0000
Pd 0.5000 0.0000 0.0000
Pb 0.5000 0.5000 0.5000
C 0.0000 0.0000 0.5000

Properties
As for the spin magnetization: 0.00 μB/f.u. The value obtained for the energy of formation from the pure elements is 0.897 eV per atom.

No. 2
VASP calculation (GGA-PBE) on an optimized crystal structure of Y2PdPbC.

Cell lengths 4.9657, 4.9657, 4.2407 Å; angles 90.00, 90.00, 90.00 degrees
Fractional coordinates of all 5 atoms:
Y 0.0000 0.5000 0.0000
Y 0.5000 0.0000 0.0000
Pd 0.0000 0.0000 0.5000
Pb 0.5000 0.5000 0.5000
C 0.0000 0.0000 0.0000

Properties
As for the spin magnetization: 0.00 μB/f.u. The value obtained for the energy of formation from the pure elements is -0.392 eV per atom.

No. 3
VASP calculation (GGA-PBE) on an optimized crystal structure of Pm5Pb2C2.

Cell lengths 5.0480, 5.0480, 9.7389 Å; angles 90.00, 90.00, 90.00 degrees
Fractional coordinates of all 9 atoms:
Pm 0.0000 0.0000 0.0000
Pm 0.0000 0.5000 0.2825
Pm 0.0000 0.5000 0.7175
Pm 0.5000 0.0000 0.2825
Pm 0.5000 0.0000 0.7175
Pb 0.5000 0.5000 0.0000
Pb 0.5000 0.5000 0.5000
C 0.0000 0.0000 0.2447
C 0.0000 0.0000 0.7553

Properties
As for the spin magnetization: 0.00 μB/f.u. The value obtained for the energy of formation from the pure elements is -0.239 eV per atom.

No. 4
VASP calculation (GGA-PBE) on an optimized crystal structure of Pm8Pb3C2.

Cell lengths 10.1867, 10.1867, 10.1867 Å; angles 40.16, 40.16, 40.16 degrees
Fractional coordinates of all 13 atoms:
Pm 0.1860 0.1860 0.1860
Pm 0.2299 0.2299 0.7312
Pm 0.2299 0.7312 0.2299
Pm 0.2688 0.7701 0.7701
Pm 0.7312 0.2299 0.2299
Pm 0.7701 0.2688 0.7701
Pm 0.7701 0.7701 0.2688
Pm 0.8141 0.8141 0.8141
Pb 0.2987 0.2987 0.2987
Pb 0.5000 0.5000 0.5000
Pb 0.7013 0.7013 0.7013
C 0.1046 0.1046 0.1046
C 0.8954 0.8954 0.8954

Properties
As for the spin magnetization: 0.00 μB/f.u. The value obtained for the energy of formation from the pure elements is -0.218 eV per atom.

No. 5
VASP calculation (GGA-PBE) on an optimized crystal structure of Pm9Pb3C2.

Cell lengths 7.1623, 7.1623, 8.7823 Å; angles 90.00, 90.00, 120.00 degrees
Fractional coordinates of all 14 atoms:
Pm 0.0000 0.5000 0.0000
Pm 0.1698 0.3396 0.6696
Pm 0.1698 0.8302 0.6696
Pm 0.3396 0.1698 0.3304
Pm 0.5000 0.0000 0.0000
Pm 0.5000 0.5000 0.0000
Pm 0.6604 0.8302 0.6696
Pm 0.8302 0.1698 0.3304
Pm 0.8302 0.6604 0.3304
Pb 0.0000 0.0000 0.0000
Pb 0.3333 0.6667 0.3321
Pb 0.6667 0.3333 0.6679
C 0.3333 0.6667 0.8258
C 0.6667 0.3333 0.1742

Properties
As for the spin magnetization: 0.00 μB/f.u. The value obtained for the energy of formation from the pure elements is -0.403 eV per atom.

No. 6
VASP calculation (GGA-PBE) on an optimized crystal structure of Pm4Pb2C.

Cell lengths 6.7887, 6.9308, 9.5824 Å; angles 90.00, 110.26, 90.00 degrees
Fractional coordinates of all 14 atoms:
Pm 0.1733 0.2500 0.0603
Pm 0.2422 0.9995 0.7299
Pm 0.2422 0.5005 0.7299
Pm 0.2768 0.7500 0.3465
Pm 0.7232 0.2500 0.6535
Pm 0.7578 0.0005 0.2701
Pm 0.7578 0.4995 0.2701
Pm 0.8267 0.7500 0.9397
Pb 0.2260 0.2500 0.4202
Pb 0.3457 0.7500 0.0352
Pb 0.6543 0.2500 0.9648
Pb 0.7740 0.7500 0.5798
C 0.0779 0.2500 0.8015
C 0.9221 0.7500 0.1985

Properties
As for the spin magnetization: 0.00 μB/f.u. The calculation puts the energy above the most stable polymorph in this dataset at 94 meV per atom. The value obtained for the energy of formation from the pure elements is -0.371 eV per atom.

No. 7
VASP calculation (GGA-PBE) on an optimized crystal structure of Pm6Pb3C2.

Cell lengths 13.4404, 13.4404, 13.4404 Å; angles 158.78, 158.78, 30.19 degrees
Fractional coordinates of all 11 atoms:
Pm 0.0849 0.5849 0.5000
Pm 0.1958 0.1958 0.0000
Pm 0.4151 0.9151 0.5000
Pm 0.5849 0.0849 0.5000
Pm 0.8042 0.8042 0.0000
Pm 0.9151 0.4151 0.5000
Pb 0.3229 0.3229 0.0000
Pb 0.5000 0.5000 0.0000
Pb 0.6771 0.6771 0.0000
C 0.1058 0.1058 0.0000
C 0.8942 0.8942 0.0000

Properties
As for the spin magnetization: 0.00 μB/f.u. The value obtained for the energy of formation from the pure elements is -0.320 eV per atom.

No. 8
VASP calculation (GGA-PBE) on an optimized crystal structure of Pm7Pb4C.

Cell lengths 8.6402, 8.6402, 11.4807 Å; angles 124.71, 124.71, 35.30 degrees
Fractional coordinates of all 12 atoms:
Pm 0.0000 0.0000 0.0000
Pm 0.1378 0.1378 0.5387
Pm 0.2815 0.2815 0.1341
Pm 0.4361 0.4361 0.7555
Pm 0.5639 0.5639 0.2445
Pm 0.7185 0.7185 0.8659
Pm 0.8622 0.8622 0.4613
Pb 0.0816 0.0816 0.7772
Pb 0.2226 0.2226 0.3442
Pb 0.7774 0.7774 0.6558
Pb 0.9184 0.9184 0.2228
C 0.5000 0.5000 0.0000

Properties
As for the spin magnetization: 0.00 μB/f.u. The value obtained for the energy of formation from the pure elements is -0.232 eV per atom.

No. 9
VASP calculation (GGA-PBE) on an optimized crystal structure of PmPbC.

Cell lengths 11.7566, 3.7062, 8.5208 Å; angles 90.00, 129.51, 90.00 degrees
Fractional coordinates of all 12 atoms:
Pm 0.0000 0.0000 0.0000
Pm 0.0916 0.5000 0.6850
Pm 0.5000 0.5000 0.0000
Pm 0.5916 0.0000 0.6850
Pb 0.2650 0.0000 0.5642
Pb 0.3014 0.5000 0.2784
Pb 0.7650 0.5000 0.5642
Pb 0.8014 0.0000 0.2784
C 0.2048 0.0000 0.9618
C 0.3142 0.0000 0.9561
C 0.7048 0.5000 0.9618
C 0.8142 0.5000 0.9561

Properties
As for the spin magnetization: 0.00 μB/f.u. The value obtained for the energy of formation from the pure elements is -0.018 eV per atom.

No. 10
VASP calculation (GGA-PBE) on an optimized crystal structure of Pm12Pb6C.

Cell lengths 8.5415, 8.5415, 8.5415 Å; angles 92.48, 92.48, 92.48 degrees
Fractional coordinates of all 19 atoms:
Pm 0.0424 0.7123 0.9272
Pm 0.0728 0.9576 0.2877
Pm 0.1969 0.5439 0.4149
Pm 0.2877 0.0728 0.9576
Pm 0.4149 0.1969 0.5439
Pm 0.4561 0.5851 0.8031
Pm 0.5439 0.4149 0.1969
Pm 0.5851 0.8031 0.4561
Pm 0.7123 0.9272 0.0424
Pm 0.8031 0.4561 0.5851
Pm 0.9272 0.0424 0.7123
Pm 0.9576 0.2877 0.0728
Pb 0.1398 0.3672 0.7471
Pb 0.2529 0.8602 0.6328
Pb 0.3672 0.7471 0.1398
Pb 0.6328 0.2529 0.8602
Pb 0.7471 0.1398 0.3672
Pb 0.8602 0.6328 0.2529
C 0.0000 0.0000 0.0000

Properties
As for the spin magnetization: 0.00 μB/f.u. The value obtained for the energy of formation from the pure elements is -0.371 eV per atom.

No. 11
VASP calculation (GGA-PBE) on an optimized crystal structure of Pm8PbC4.

Cell lengths 7.9251, 7.9251, 7.9251 Å; angles 60.00, 60.00, 60.00 degrees
Fractional coordinates of all 13 atoms:
Pm 0.0823 0.6392 0.6392
Pm 0.1019 0.1019 0.1019
Pm 0.1019 0.1019 0.6942
Pm 0.1019 0.6942 0.1019
Pm 0.6392 0.0823 0.6392
Pm 0.6392 0.6392 0.0823
Pm 0.6392 0.6392 0.6392
Pm 0.6942 0.1019 0.1019
Pb 0.2500 0.2500 0.2500
C 0.3925 0.8692 0.8692
C 0.8692 0.3925 0.8692
C 0.8692 0.8692 0.3925
C 0.8692 0.8692 0.8692

Properties
As for the spin magnetization: 0.96 μB/f.u. The value obtained for the energy of formation from the pure elements is -0.025 eV per atom.

No. 12
VASP calculation (GGA-PBE) on an optimized crystal structure of Pm7Pb2C2.

Cell lengths 9.3074, 9.3074, 9.3074 Å; angles 157.84, 87.77, 96.47 degrees
Fractional coordinates of all 11 atoms:
Pm 0.0000 0.0000 0.0000
Pm 0.0530 0.6877 0.3653
Pm 0.1237 0.4092 0.7145
Pm 0.3225 0.6877 0.6347
Pm 0.4676 0.6085 0.8591
Pm 0.6947 0.4092 0.2855
Pm 0.7494 0.6085 0.1409
Pb 0.3905 0.3905 0.0000
Pb 0.7755 0.2755 0.5000
C 0.2550 0.0537 0.2013
C 0.8523 0.0537 0.7987

Properties
As for the spin magnetization: 0.00 μB/f.u. The value obtained for the energy of formation from the pure elements is -0.141 eV per atom.

No. 13
VASP calculation (GGA-PBE) on an optimized crystal structure of Pm5Pb4C.

Cell lengths 7.5703, 7.5703, 7.5703 Å; angles 99.74, 99.74, 131.41 degrees
Fractional coordinates of all 10 atoms:
Pm 0.0000 0.0000 0.0000
Pm 0.3139 0.6554 0.8823
Pm 0.4317 0.3139 0.6586
Pm 0.6554 0.7731 0.3414
Pm 0.7731 0.4317 0.1177
Pb 0.1063 0.3849 0.3971
Pb 0.3849 0.9878 0.2786
Pb 0.7092 0.1063 0.7214
Pb 0.9878 0.7092 0.6029
C 0.6026 0.6026 0.0000

Properties
As for the spin magnetization: 0.00 μB/f.u. The value obtained for the energy of formation from the pure elements is -0.322 eV per atom.

No. 14
VASP calculation (GGA-PBE) on an optimized crystal structure of Pm4PbC.

Cell lengths 6.2946, 6.2946, 9.8902 Å; angles 90.00, 90.00, 76.91 degrees
Fractional coordinates of all 12 atoms:
Pm 0.1208 0.2807 0.7500
Pm 0.2474 0.7526 0.5494
Pm 0.2474 0.7526 0.9506
Pm 0.2807 0.1208 0.2500
Pm 0.7193 0.8792 0.7500
Pm 0.7526 0.2474 0.0494
Pm 0.7526 0.2474 0.4506
Pm 0.8792 0.7193 0.2500
Pb 0.4171 0.5829 0.2500
Pb 0.5829 0.4171 0.7500
C 0.0832 0.9168 0.7500
C 0.9168 0.0832 0.2500

Properties
As for the spin magnetization: 0.00 μB/f.u. The value obtained for the energy of formation from the pure elements is -0.105 eV per atom.

No. 15
VASP calculation (GGA-PBE) on an optimized crystal structure of Pm2PbC.

Cell lengths 3.4840, 3.4374, 8.1277 Å; angles 90.00, 96.89, 90.00 degrees
Fractional coordinates of all 4 atoms:
Pm 0.1483 0.0000 0.3196
Pm 0.8517 0.0000 0.6804
Pb 0.5000 0.5000 0.0000
C 0.5000 0.5000 0.5000

Properties
As for the spin magnetization: 0.00 μB/f.u. The calculation puts the energy above the most stable polymorph in this dataset at 245 meV per atom. The value obtained for the energy of formation from the pure elements is -0.103 eV per atom.

No. 16
VASP calculation (GGA-PBE) on an optimized crystal structure of Pm2PbC.

Cell lengths 3.7483, 3.7483, 25.0294 Å; angles 90.00, 90.00, 120.00 degrees
Fractional coordinates of all 12 atoms:
Pm 0.0000 0.0000 0.2230
Pm 0.0000 0.0000 0.7770
Pm 0.3333 0.6667 0.4437
Pm 0.3333 0.6667 0.8896
Pm 0.6667 0.3333 0.1104
Pm 0.6667 0.3333 0.5563
Pb 0.0000 0.0000 0.0000
Pb 0.3333 0.6667 0.6667
Pb 0.6667 0.3333 0.3333
C 0.0000 0.0000 0.5000
C 0.3333 0.6667 0.1667
C 0.6667 0.3333 0.8333

Properties
As for the spin magnetization: 0.00 μB/f.u. The calculation puts the energy above the most stable polymorph in this dataset at 0 meV per atom. The value obtained for the energy of formation from the pure elements is -0.348 eV per atom.

No. 17
VASP calculation (GGA-PBE) on an optimized crystal structure of Pm4Pb2C.

Cell lengths 4.9909, 4.9909, 16.5864 Å; angles 90.00, 90.00, 90.00 degrees
Fractional coordinates of all 14 atoms:
Pm 0.0000 0.0000 0.1597
Pm 0.0000 0.0000 0.8403
Pm 0.0000 0.5000 0.0000
Pm 0.0000 0.5000 0.5000
Pm 0.5000 0.0000 0.0000
Pm 0.5000 0.0000 0.5000
Pm 0.5000 0.5000 0.3403
Pm 0.5000 0.5000 0.6597
Pb 0.0000 0.0000 0.3592
Pb 0.0000 0.0000 0.6408
Pb 0.5000 0.5000 0.1408
Pb 0.5000 0.5000 0.8592
C 0.0000 0.0000 0.0000
C 0.5000 0.5000 0.5000

Properties
As for the spin magnetization: 0.00 μB/f.u. The calculation puts the energy above the most stable polymorph in this dataset at 0 meV per atom. The value obtained for the energy of formation from the pure elements is -0.464 eV per atom.

No. 18
VASP calculation (GGA-PBE) on an optimized crystal structure of Pm2PrPbC.

Cell lengths 5.0956, 5.0956, 5.1774 Å; angles 90.00, 90.00, 90.00 degrees
Fractional coordinates of all 5 atoms:
Pm 0.0000 0.5000 0.0000
Pm 0.5000 0.0000 0.0000
Pr 0.0000 0.0000 0.5000
Pb 0.5000 0.5000 0.5000
C 0.0000 0.0000 0.0000

Properties
As for the spin magnetization: 0.00 μB/f.u. The value obtained for the energy of formation from the pure elements is -0.414 eV per atom.

No. 19
VASP calculation (GGA-PBE) on an optimized crystal structure of Pm8Pb4CS3.

Cell lengths 7.9026, 7.9026, 9.2639 Å; angles 115.35, 115.35, 59.93 degrees
Fractional coordinates of all 16 atoms:
Pm 0.2184 0.2184 0.6877
Pm 0.2187 0.7509 0.6876
Pm 0.2491 0.7813 0.3124
Pm 0.2663 0.2663 0.2996
Pm 0.7337 0.7337 0.7004
Pm 0.7509 0.2187 0.6876
Pm 0.7813 0.2491 0.3124
Pm 0.7816 0.7816 0.3123
Pb 0.0000 0.0000 0.0000
Pb 0.0000 0.5000 0.0000
Pb 0.5000 0.0000 0.0000
Pb 0.5000 0.5000 0.0000
C 0.0000 0.0000 0.5000
S 0.0000 0.5000 0.5000
S 0.5000 0.0000 0.5000
S 0.5000 0.5000 0.5000

Properties
As for the spin magnetization: 0.00 μB/f.u. The value obtained for the energy relative to the elements, uncorrected is -1.0481 eV/atom.

No. 20
VASP calculation (GGA-PBE) on an optimized crystal structure of Pm4SbPbC.

Cell lengths 8.8894, 8.8894, 7.0427 Å; angles 90.00, 90.00, 133.32 degrees
Fractional coordinates of all 14 atoms:
Pm 0.0000 0.5000 0.0000
Pm 0.0000 0.5000 0.5000
Pm 0.0907 0.9093 0.7500
Pm 0.4084 0.5916 0.7500
Pm 0.5000 0.0000 0.0000
Pm 0.5000 0.0000 0.5000
Pm 0.5916 0.4084 0.2500
Pm 0.9093 0.0907 0.2500
Sb 0.1102 0.8898 0.2500
Sb 0.8898 0.1102 0.7500
Pb 0.3924 0.6076 0.2500
Pb 0.6076 0.3924 0.7500
C 0.2493 0.7507 0.7500
C 0.7507 0.2493 0.2500

Properties
As for the spin magnetization: 0.00 μB/f.u. The value obtained for the energy relative to the elements, uncorrected is -0.6019 eV/atom.

No. 21
VASP calculation (GGA-PBE) on an optimized crystal structure of Pm2Sc2Pb2C.

Cell lengths 4.6176, 4.6176, 16.3244 Å; angles 90.00, 90.00, 90.00 degrees
Fractional coordinates of all 14 atoms:
Pm 0.0000 0.0000 0.1579
Pm 0.0000 0.0000 0.8421
Pm 0.5000 0.5000 0.3421
Pm 0.5000 0.5000 0.6579
Sc 0.0000 0.5000 0.0000
Sc 0.0000 0.5000 0.5000
Sc 0.5000 0.0000 0.0000
Sc 0.5000 0.0000 0.5000
Pb 0.0000 0.0000 0.3659
Pb 0.0000 0.0000 0.6341
Pb 0.5000 0.5000 0.1341
Pb 0.5000 0.5000 0.8659
C 0.0000 0.0000 0.0000
C 0.5000 0.5000 0.5000

Properties
As for the spin magnetization: 0.00 μB/f.u. The value obtained for the energy of formation from the pure elements is -0.684 eV per atom.

No. 22
VASP calculation (GGA-PBE) on an optimized crystal structure of Pm8Pb4CSe3.

Cell lengths 8.1380, 8.1380, 9.2620 Å; angles 116.25, 116.25, 59.86 degrees
Fractional coordinates of all 16 atoms:
Pm 0.2174 0.2174 0.6958
Pm 0.2175 0.7617 0.6959
Pm 0.2383 0.7825 0.3041
Pm 0.2603 0.2603 0.2820
Pm 0.7397 0.7397 0.7180
Pm 0.7617 0.2175 0.6959
Pm 0.7825 0.2383 0.3041
Pm 0.7826 0.7826 0.3041
Pb 0.0000 0.0000 0.0000
Pb 0.0000 0.5000 0.0000
Pb 0.5000 0.0000 0.0000
Pb 0.5000 0.5000 0.0000
C 0.0000 0.0000 0.5000
Se 0.0000 0.5000 0.5000
Se 0.5000 0.0000 0.5000
Se 0.5000 0.5000 0.5000

Properties
As for the spin magnetization: 0.00 μB/f.u. The value obtained for the energy relative to the elements, uncorrected is -0.9503 eV/atom.